Compound: ZrCrI2N
Source: Alexandria via LeMat-Bulk
Functional: GGA-PBE
Structure: relaxed

Summary:
excess energy over the best structure of this formula in the dataset = 5.56 kcal/mol of atoms
formation energy from raw total energies = 0.3845 eV per atom

Unit cell a=5.4463 b=5.4463 c=3.5658 alpha=90.00 beta=90.00 gamma=90.00
Element x y z (fractional)
Zr (0.0000, 0.0000, 0.0000)
Cr (0.5000, 0.5000, 0.5000)
I (0.0000, 0.5000, 0.5000)
I (0.5000, 0.0000, 0.5000)
N (0.5000, 0.5000, 0.0000)

=====

Compound: ZrCrIN2
Source: Alexandria via LeMat-Bulk
Functional: GGA-PBE
Structure: relaxed

Summary:
excess energy over the best structure of this formula in the dataset = 4.74 kcal/mol of atoms
formation energy from raw total energies = 0.7401 eV per atom

Unit cell a=3.9088 b=3.9088 c=5.0993 alpha=90.00 beta=90.00 gamma=90.00
Element x y z (fractional)
Zr (0.0000, 0.0000, 0.0000)
Cr (0.5000, 0.5000, 0.5000)
I (0.5000, 0.5000, 0.0000)
N (0.0000, 0.5000, 0.5000)
N (0.5000, 0.0000, 0.5000)

=====

Compound: ZrCrIN2
Source: Alexandria via LeMat-Bulk
Functional: GGA-PBE
Structure: relaxed

Summary:
excess energy over the best structure of this formula in the dataset = 0.00 kcal/mol of atoms
formation energy from raw total energies = 0.5347 eV per atom

Unit cell a=4.1782 b=4.1782 c=6.1300 alpha=90.00 beta=90.00 gamma=90.00
Element x y z (fractional)
Zr (0.0000, 0.0000, 0.0000)
Cr (0.5000, 0.5000, 0.5000)
I (0.0000, 0.0000, 0.5000)
N (0.0000, 0.5000, 0.0000)
N (0.5000, 0.0000, 0.0000)

=====

Compound: ZrCrI2N
Source: Alexandria via LeMat-Bulk
Functional: GGA-PBE
Structure: relaxed

Summary:
excess energy over the best structure of this formula in the dataset = 0.00 kcal/mol of atoms
formation energy from raw total energies = 0.1436 eV per atom

Unit cell a=5.9537 b=5.9537 c=4.0159 alpha=90.00 beta=90.00 gamma=90.00
Element x y z (fractional)
Zr (0.0000, 0.0000, 0.0000)
Cr (0.5000, 0.5000, 0.5000)
I (0.0000, 0.5000, 0.0000)
I (0.5000, 0.0000, 0.0000)
N (0.0000, 0.0000, 0.5000)

=====

Compound: NaCr2I
Source: Alexandria via LeMat-Bulk
Functional: GGA-PBE
Structure: relaxed

Summary:
excess energy over the best structure of this formula in the dataset = 3.67 kcal/mol of atoms
formation energy from raw total energies = 1.1037 eV per atom

Unit cell a=3.9347 b=3.9347 c=20.1518 alpha=90.00 beta=90.00 gamma=90.00
Element x y z (fractional)
Na (0.0000, 0.0000, 0.0000)
Na (0.0000, 0.5000, 0.2500)
Na (0.5000, 0.0000, 0.7500)
Na (0.5000, 0.5000, 0.5000)
Cr (0.1557, 0.2500, 0.6250)
Cr (0.2500, 0.6557, 0.8750)
Cr (0.2500, 0.8443, 0.3750)
Cr (0.3443, 0.2500, 0.1250)
Cr (0.6557, 0.7500, 0.1250)
Cr (0.7500, 0.1557, 0.3750)
Cr (0.7500, 0.3443, 0.8750)
Cr (0.8443, 0.7500, 0.6250)
I (0.0000, 0.0000, 0.5000)
I (0.0000, 0.5000, 0.7500)
I (0.5000, 0.0000, 0.2500)
I (0.5000, 0.5000, 0.0000)

=====

Compound: Na3Cr5I12
Source: Alexandria via LeMat-Bulk
Functional: GGA-PBE
Structure: relaxed

Summary:
formation energy from raw total energies = -0.4709 eV per atom

Unit cell a=15.6474 b=15.6474 c=15.6474 alpha=109.47 beta=109.47 gamma=109.47
Element x y z (fractional)
Na (0.1250, 0.2500, 0.3750)
Na (0.1250, 0.3750, 0.7500)
Na (0.2500, 0.3750, 0.1250)
Na (0.2500, 0.8750, 0.6250)
Na (0.3750, 0.1250, 0.2500)
Na (0.3750, 0.7500, 0.1250)
Na (0.6250, 0.2500, 0.8750)
Na (0.6250, 0.8750, 0.7500)
Na (0.7500, 0.1250, 0.3750)
Na (0.7500, 0.6250, 0.8750)
Na (0.8750, 0.6250, 0.2500)
Na (0.8750, 0.7500, 0.6250)
Cr (0.0000, 0.0000, 0.0000)
Cr (0.0000, 0.0000, 0.5000)
Cr (0.0000, 0.5000, 0.0000)
Cr (0.0000, 0.5000, 0.5000)
Cr (0.1250, 0.7500, 0.8750)
Cr (0.1250, 0.8750, 0.2500)
Cr (0.2500, 0.1250, 0.8750)
Cr (0.2500, 0.6250, 0.3750)
Cr (0.3750, 0.2500, 0.6250)
Cr (0.3750, 0.6250, 0.7500)
Cr (0.5000, 0.0000, 0.0000)
Cr (0.5000, 0.0000, 0.5000)
Cr (0.5000, 0.5000, 0.0000)
Cr (0.5000, 0.5000, 0.5000)
Cr (0.6250, 0.3750, 0.2500)
Cr (0.6250, 0.7500, 0.3750)
Cr (0.7500, 0.3750, 0.6250)
Cr (0.7500, 0.8750, 0.1250)
Cr (0.8750, 0.1250, 0.7500)
Cr (0.8750, 0.2500, 0.1250)
I (0.0237, 0.1987, 0.1208)
I (0.0237, 0.3251, 0.9030)
I (0.0779, 0.6987, 0.6749)
I (0.0779, 0.8792, 0.4030)
I (0.0970, 0.6208, 0.4221)
I (0.0970, 0.9763, 0.6749)
I (0.1208, 0.0237, 0.1987)
I (0.1208, 0.5970, 0.9221)
I (0.1749, 0.1987, 0.5779)
I (0.1749, 0.4763, 0.5970)
I (0.1987, 0.1208, 0.0237)
I (0.1987, 0.5779, 0.1749)
I (0.3013, 0.3251, 0.9221)
I (0.3013, 0.4763, 0.3792)
I (0.3251, 0.9030, 0.0237)
I (0.3251, 0.9221, 0.3013)
I (0.3792, 0.3013, 0.4763)
I (0.3792, 0.5779, 0.9030)
I (0.4030, 0.0779, 0.8792)
I (0.4030, 0.8251, 0.5237)
I (0.4221, 0.0970, 0.6208)
I (0.4221, 0.8251, 0.8013)
I (0.4763, 0.3792, 0.3013)
I (0.4763, 0.5970, 0.1749)
I (0.5237, 0.4030, 0.8251)
I (0.5237, 0.6208, 0.6987)
I (0.5779, 0.1749, 0.1987)
I (0.5779, 0.9030, 0.3792)
I (0.5970, 0.1749, 0.4763)
I (0.5970, 0.9221, 0.1208)
I (0.6208, 0.4221, 0.0970)
I (0.6208, 0.6987, 0.5237)
I (0.6749, 0.0779, 0.6987)
I (0.6749, 0.0970, 0.9763)
I (0.6987, 0.5237, 0.6208)
I (0.6987, 0.6749, 0.0779)
I (0.8013, 0.4221, 0.8251)
I (0.8013, 0.8792, 0.9763)
I (0.8251, 0.5237, 0.4030)
I (0.8251, 0.8013, 0.4221)
I (0.8792, 0.4030, 0.0779)
I (0.8792, 0.9763, 0.8013)
I (0.9030, 0.0237, 0.3251)
I (0.9030, 0.3792, 0.5779)
I (0.9221, 0.1208, 0.5970)
I (0.9221, 0.3013, 0.3251)
I (0.9763, 0.6749, 0.0970)
I (0.9763, 0.8013, 0.8792)

=====

Compound: NaCr2I2
Source: Alexandria via LeMat-Bulk
Functional: GGA-PBE
Structure: relaxed

Summary:
excess energy over the best structure of this formula in the dataset = 0.00 kcal/mol of atoms
formation energy from raw total energies = 0.3864 eV per atom

Unit cell a=8.0659 b=8.0659 c=4.7114 alpha=90.00 beta=90.00 gamma=90.00
Element x y z (fractional)
Na (0.0000, 0.0000, 0.0000)
Na (0.5000, 0.5000, 0.0000)
Cr (0.0764, 0.4236, 0.0000)
Cr (0.4236, 0.9236, 0.0000)
Cr (0.5764, 0.0764, 0.0000)
Cr (0.9236, 0.5764, 0.0000)
I (0.1773, 0.3227, 0.5000)
I (0.3227, 0.8227, 0.5000)
I (0.6773, 0.1773, 0.5000)
I (0.8227, 0.6773, 0.5000)

=====

Compound: Na3CrI
Source: Alexandria via LeMat-Bulk
Functional: GGA-PBE
Structure: relaxed

Summary:
excess energy over the best structure of this formula in the dataset = 0.00 kcal/mol of atoms
formation energy from raw total energies = 0.2768 eV per atom

Unit cell a=5.9530 b=5.9530 c=5.9530 alpha=90.00 beta=90.00 gamma=90.00
Element x y z (fractional)
Na (0.0000, 0.0000, 0.5000)
Na (0.0000, 0.5000, 0.0000)
Na (0.5000, 0.0000, 0.0000)
Cr (0.5000, 0.5000, 0.5000)
I (0.0000, 0.0000, 0.0000)

=====

Compound: NaCrI4
Source: Alexandria via LeMat-Bulk
Functional: GGA-PBE
Structure: relaxed

Summary:
excess energy over the best structure of this formula in the dataset = 0.54 kcal/mol of atoms
formation energy from raw total energies = -0.6123 eV per atom

Unit cell a=10.0435 b=10.0435 c=7.1699 alpha=103.05 beta=103.05 gamma=128.09
Element x y z (fractional)
Na (0.0753, 0.9247, 0.7500)
Na (0.9247, 0.0753, 0.2500)
Cr (0.4391, 0.5609, 0.2500)
Cr (0.5609, 0.4391, 0.7500)
I (0.1192, 0.4536, 0.2477)
I (0.2473, 0.3486, 0.7991)
I (0.3486, 0.2473, 0.2991)
I (0.4536, 0.1192, 0.7477)
I (0.5464, 0.8808, 0.2523)
I (0.6514, 0.7527, 0.7009)
I (0.7527, 0.6514, 0.2009)
I (0.8808, 0.5464, 0.7523)

=====

Compound: NaCrI4
Source: Alexandria via LeMat-Bulk
Functional: GGA-PBE
Structure: relaxed

Summary:
excess energy over the best structure of this formula in the dataset = 0.00 kcal/mol of atoms
formation energy from raw total energies = -0.6357 eV per atom

Unit cell a=16.4362 b=4.1416 c=7.8628 alpha=90.00 beta=113.03 gamma=90.00
Element x y z (fractional)
Na (0.0000, 0.0000, 0.0000)
Na (0.5000, 0.5000, 0.0000)
Cr (0.0000, 0.5000, 0.5000)
Cr (0.5000, 0.0000, 0.5000)
I (0.1030, 0.0000, 0.7172)
I (0.1068, 0.5000, 0.3065)
I (0.3932, 0.0000, 0.6935)
I (0.3970, 0.5000, 0.2828)
I (0.6030, 0.5000, 0.7172)
I (0.6068, 0.0000, 0.3065)
I (0.8932, 0.5000, 0.6935)
I (0.8970, 0.0000, 0.2828)

=====

Compound: Na2CrI2
Source: Alexandria via LeMat-Bulk
Functional: GGA-PBE
Structure: relaxed

Summary:
excess energy over the best structure of this formula in the dataset = 0.00 kcal/mol of atoms
formation energy from raw total energies = -0.2682 eV per atom

Unit cell a=8.7204 b=8.7204 c=4.1741 alpha=90.00 beta=90.00 gamma=90.00
Element x y z (fractional)
Na (0.1500, 0.3500, 0.0000)
Na (0.3500, 0.8500, 0.0000)
Na (0.6500, 0.1500, 0.0000)
Na (0.8500, 0.6500, 0.0000)
Cr (0.0000, 0.0000, 0.5000)
Cr (0.5000, 0.5000, 0.5000)
I (0.1603, 0.6603, 0.5000)
I (0.3397, 0.1603, 0.5000)
I (0.6603, 0.8397, 0.5000)
I (0.8397, 0.3397, 0.5000)

=====

Compound: Na2Cr2I
Source: Alexandria via LeMat-Bulk
Functional: GGA-PBE
Structure: relaxed

Summary:
excess energy over the best structure of this formula in the dataset = 6.42 kcal/mol of atoms
formation energy from raw total energies = 0.9640 eV per atom

Unit cell a=4.6043 b=4.6043 c=13.1998 alpha=90.00 beta=90.00 gamma=90.00
Element x y z (fractional)
Na (0.0000, 0.5000, 0.2500)
Na (0.0000, 0.5000, 0.7500)
Na (0.5000, 0.0000, 0.2500)
Na (0.5000, 0.0000, 0.7500)
Cr (0.0000, 0.0000, 0.0644)
Cr (0.0000, 0.0000, 0.9356)
Cr (0.5000, 0.5000, 0.4356)
Cr (0.5000, 0.5000, 0.5644)
I (0.0000, 0.0000, 0.5000)
I (0.5000, 0.5000, 0.0000)

=====

> Among the records above, which one has the lowest formation energy from raw total energies?

number 10

=====

> Number 2 is which compound?

ZrCrIN2

=====

> What is the formula in the eighth record?

Na3CrI

=====

> What is the formula in the second record?

ZrCrIN2